No. 1
A relaxed NpAgB2O6 crystal. Source: the Alexandria database, functional PBE.

Values from the calculation:
Mass density: 5.97 g/cm³
Magnetic moment: 0.200 μB per atom
Space group: C2/c
ΔE_f (raw): -2.13 eV/atom

a b c (Å): 6.358 6.358 7.137
angles (deg): 108.51 108.51 90.82
Fractional positions:
B: 0.108 0.397 0.223
Ag: 0.073 0.927 0.250
Np: 0.422 0.578 0.750
O: 0.486 0.703 0.105
O: 0.703 0.486 0.605
O: 0.297 0.514 0.395
O: 0.901 0.415 0.247
O: 0.514 0.297 0.895
B: 0.397 0.108 0.723
B: 0.603 0.892 0.277
O: 0.843 0.721 0.949
Ag: 0.927 0.073 0.750
B: 0.892 0.603 0.777
Np: 0.578 0.422 0.250
O: 0.721 0.843 0.449
O: 0.099 0.585 0.753
O: 0.157 0.279 0.051
O: 0.585 0.099 0.253
O: 0.279 0.157 0.551
O: 0.415 0.901 0.747

No. 2
A relaxed NpAgBO6 crystal. Source: the Alexandria database, functional PBE.

Values from the calculation:
Mass density: 5.52 g/cm³
Magnetic moment: 0.000 μB per atom
Space group: P1
ΔE_f (raw): -1.79 eV/atom

a b c (Å): 5.950 6.878 5.083
angles (deg): 73.94 77.79 42.81
Fractional positions:
O: 0.374 0.646 0.300
Ag: 0.041 0.004 0.984
B: 0.666 0.489 0.432
O: 0.613 0.112 0.255
O: 0.880 0.509 0.350
O: 0.348 0.035 0.739
O: 0.051 0.577 0.765
Np: 0.318 0.336 0.521
O: 0.708 0.290 0.654

No. 3
A relaxed NpAgBO5 crystal. Source: the Alexandria database, functional PBE.

Values from the calculation:
Mass density: 6.83 g/cm³
Magnetic moment: 0.125 μB per atom
Space group: C2/c
ΔE_f (raw): -2.05 eV/atom

a b c (Å): 5.538 5.538 7.992
angles (deg): 107.99 107.99 99.87
Fractional positions:
O: 0.917 0.083 0.750
O: 0.847 0.280 0.133
O: 0.395 0.244 0.127
O: 0.153 0.720 0.867
Ag: 0.662 0.338 0.750
O: 0.244 0.395 0.627
O: 0.720 0.153 0.367
B: 0.318 0.682 0.750
O: 0.280 0.847 0.633
Ag: 0.338 0.662 0.250
O: 0.083 0.917 0.250
B: 0.682 0.318 0.250
Np: 0.000 0.000 0.500
O: 0.605 0.756 0.873
O: 0.756 0.605 0.373
Np: 0.000 0.000 0.000

No. 4
A relaxed AgBO3 crystal. Source: the Alexandria database, functional PBE.

Values from the calculation:
Mass density: 4.45 g/cm³
Magnetic moment: 0.000 μB per atom
Space group: Amm2
ΔE_f (raw): -0.96 eV/atom

a b c (Å): 2.719 5.054 5.054
angles (deg): 116.44 90.00 90.00
Fractional positions:
O: 0.000 0.156 0.844
O: 0.500 0.183 0.257
B: 0.500 0.075 0.925
Ag: 0.000 0.472 0.528
O: 0.500 0.743 0.817

No. 5
A relaxed AgBO2 crystal. Source: the Alexandria database, functional PBE.

Values from the calculation:
Mass density: 6.57 g/cm³
Magnetic moment: 0.000 μB per atom
Space group: I-42d
ΔE_f (raw): -1.36 eV/atom

a b c (Å): 4.719 4.719 4.778
angles (deg): 60.40 60.40 90.00
Fractional positions:
O: 0.375 0.537 0.750
B: 0.500 0.500 0.000
O: 0.463 0.125 0.250
Ag: 0.000 0.000 0.000
Ag: 0.750 0.250 0.500
B: 0.250 0.750 0.500
O: 0.875 0.713 0.750
O: 0.287 0.625 0.250

No. 6
A relaxed Ag2B8O13 crystal. Source: the Alexandria database, functional PBE.

Values from the calculation:
Mass density: 3.16 g/cm³
Magnetic moment: 0.000 μB per atom
Space group: P2_1/c
ΔE_f (raw): -2.12 eV/atom

a b c (Å): 6.720 8.940 17.872
angles (deg): 90.00 89.25 90.00
Fractional positions:
O: 0.469 0.626 0.753
O: 0.410 0.266 0.531
O: 0.936 0.685 0.966
O: 0.024 0.450 0.253
O: 0.730 0.178 0.571
B: 0.530 0.278 0.728
Ag: 0.073 0.510 0.118
O: 0.188 0.144 0.942
B: 0.983 0.703 0.730
O: 0.539 0.128 0.289
O: 0.531 0.374 0.247
O: 0.952 0.513 0.381
O: 0.270 0.678 0.929
B: 0.223 0.268 0.504
O: 0.590 0.734 0.469
Ag: 0.528 0.063 0.909
B: 0.020 0.056 0.191
B: 0.477 0.795 0.407
O: 0.007 0.748 0.658
B: 0.992 0.138 0.907
B: 0.992 0.362 0.407
B: 0.008 0.638 0.593
O: 0.812 0.644 0.558
B: 0.521 0.980 0.307
Ag: 0.528 0.437 0.409
B: 0.017 0.297 0.270
B: 0.980 0.556 0.309
B: 0.223 0.232 0.004
O: 0.007 0.752 0.158
B: 0.008 0.862 0.093
O: 0.270 0.822 0.429
B: 0.864 0.230 0.521
B: 0.479 0.020 0.693
O: 0.410 0.234 0.031
O: 0.024 0.050 0.753
Ag: 0.927 0.010 0.382
Ag: 0.073 0.990 0.618
O: 0.962 0.795 0.790
O: 0.170 0.818 0.041
O: 0.952 0.987 0.881
O: 0.048 0.013 0.119
B: 0.136 0.770 0.479
O: 0.962 0.705 0.290
O: 0.830 0.182 0.959
O: 0.461 0.872 0.711
O: 0.522 0.178 0.155
B: 0.530 0.222 0.228
O: 0.830 0.318 0.459
O: 0.730 0.322 0.071
B: 0.470 0.722 0.272
O: 0.461 0.628 0.211
O: 0.993 0.252 0.342
O: 0.441 0.437 0.122
O: 0.522 0.322 0.655
B: 0.017 0.203 0.770
Ag: 0.927 0.490 0.882
B: 0.521 0.520 0.807
B: 0.523 0.295 0.093
Ag: 0.472 0.937 0.091
B: 0.983 0.797 0.230
B: 0.980 0.944 0.809
O: 0.188 0.356 0.442
O: 0.976 0.550 0.747
O: 0.539 0.372 0.789
Ag: 0.472 0.563 0.591
O: 0.038 0.295 0.710
B: 0.479 0.480 0.193
O: 0.469 0.874 0.253
O: 0.936 0.815 0.466
B: 0.470 0.778 0.772
O: 0.993 0.248 0.842
B: 0.777 0.732 0.496
B: 0.020 0.444 0.691
O: 0.170 0.682 0.541
O: 0.048 0.487 0.619
O: 0.038 0.205 0.210
O: 0.559 0.937 0.378
B: 0.777 0.768 0.996
O: 0.531 0.126 0.747
O: 0.590 0.766 0.969
O: 0.478 0.822 0.845
O: 0.559 0.563 0.878
O: 0.441 0.063 0.622
B: 0.523 0.205 0.593
B: 0.477 0.705 0.907
O: 0.976 0.950 0.247
O: 0.478 0.678 0.345
O: 0.812 0.856 0.058
B: 0.864 0.270 0.021
B: 0.136 0.730 0.979
O: 0.064 0.315 0.034
O: 0.064 0.185 0.534

No. 7
A relaxed AgBO2 crystal. Source: the Alexandria database, functional PBE.

Values from the calculation:
Mass density: 5.29 g/cm³
Magnetic moment: 0.000 μB per atom
Space group: Pbcn
ΔE_f (raw): -1.53 eV/atom

a b c (Å): 8.641 8.766 19.970
angles (deg): 90.00 90.00 90.00
Fractional positions:
B: 0.443 0.547 0.826
O: 0.178 0.616 0.955
O: 0.076 0.283 0.560
B: 0.389 0.239 0.133
B: 0.889 0.739 0.367
Ag: 0.997 0.292 0.389
B: 0.176 0.627 0.024
O: 0.924 0.283 0.940
B: 0.218 0.006 0.134
Ag: 0.003 0.292 0.111
O: 0.424 0.217 0.060
O: 0.212 0.043 0.059
O: 0.076 0.717 0.060
B: 0.557 0.453 0.174
O: 0.469 0.297 0.335
Ag: 0.308 0.760 0.269
O: 0.758 0.845 0.356
B: 0.824 0.373 0.976
O: 0.531 0.703 0.665
Ag: 0.497 0.792 0.111
Ag: 0.718 0.867 0.586
Ag: 0.000 0.000 0.000
O: 0.435 0.446 0.661
O: 0.435 0.554 0.161
O: 0.031 0.203 0.835
O: 0.258 0.655 0.644
O: 0.935 0.946 0.839
B: 0.557 0.547 0.674
O: 0.935 0.054 0.339
O: 0.969 0.203 0.665
O: 0.712 0.543 0.441
O: 0.712 0.457 0.941
O: 0.848 0.409 0.837
B: 0.676 0.127 0.476
O: 0.822 0.384 0.045
O: 0.742 0.345 0.356
O: 0.742 0.655 0.856
O: 0.565 0.554 0.339
B: 0.611 0.761 0.867
Ag: 0.500 0.500 0.000
B: 0.324 0.873 0.524
B: 0.611 0.239 0.367
Ag: 0.808 0.740 0.731
O: 0.178 0.384 0.455
Ag: 0.782 0.367 0.586
Ag: 0.192 0.740 0.769
B: 0.282 0.506 0.134
Ag: 0.503 0.792 0.389
O: 0.788 0.043 0.441
O: 0.303 0.496 0.805
Ag: 0.000 0.466 0.750
Ag: 0.000 0.000 0.500
Ag: 0.718 0.133 0.086
O: 0.758 0.155 0.856
B: 0.176 0.373 0.524
O: 0.065 0.054 0.161
Ag: 0.503 0.208 0.889
O: 0.065 0.946 0.661
O: 0.576 0.217 0.440
O: 0.288 0.543 0.059
B: 0.676 0.873 0.976
B: 0.218 0.994 0.634
O: 0.322 0.116 0.955
B: 0.111 0.739 0.133
O: 0.469 0.703 0.835
O: 0.652 0.091 0.337
B: 0.111 0.261 0.633
Ag: 0.808 0.260 0.231
Ag: 0.692 0.760 0.231
O: 0.678 0.116 0.545
B: 0.718 0.494 0.866
B: 0.057 0.953 0.326
O: 0.348 0.091 0.163
B: 0.718 0.506 0.366
O: 0.788 0.957 0.941
Ag: 0.308 0.240 0.769
Ag: 0.003 0.708 0.611
O: 0.258 0.345 0.144
Ag: 0.282 0.867 0.914
O: 0.242 0.155 0.644
O: 0.848 0.591 0.337
B: 0.943 0.953 0.174
O: 0.322 0.884 0.455
Ag: 0.997 0.708 0.889
O: 0.348 0.909 0.663
O: 0.678 0.884 0.045
B: 0.782 0.006 0.366
O: 0.697 0.496 0.695
B: 0.889 0.261 0.867
O: 0.652 0.909 0.837
O: 0.531 0.297 0.165
Ag: 0.000 0.534 0.250
O: 0.803 0.004 0.195
O: 0.197 0.996 0.805
Ag: 0.782 0.633 0.086
Ag: 0.282 0.133 0.414
O: 0.803 0.996 0.695
O: 0.242 0.845 0.144
B: 0.057 0.047 0.826
B: 0.282 0.494 0.634
O: 0.197 0.004 0.305
Ag: 0.218 0.367 0.914
O: 0.152 0.591 0.163
O: 0.697 0.504 0.195
Ag: 0.192 0.260 0.269
O: 0.424 0.783 0.560
B: 0.782 0.994 0.866
B: 0.324 0.127 0.024
O: 0.031 0.797 0.335
O: 0.212 0.957 0.559
O: 0.822 0.616 0.545
O: 0.576 0.783 0.940
O: 0.969 0.797 0.165
O: 0.288 0.457 0.559
B: 0.943 0.047 0.674
Ag: 0.500 0.500 0.500
O: 0.565 0.446 0.839
O: 0.152 0.409 0.663
B: 0.824 0.627 0.476
B: 0.443 0.453 0.326
Ag: 0.497 0.208 0.611
Ag: 0.692 0.240 0.731
O: 0.303 0.504 0.305
O: 0.924 0.717 0.440
Ag: 0.218 0.633 0.414
Ag: 0.500 0.034 0.250
B: 0.389 0.761 0.633
Ag: 0.500 0.966 0.750

No. 8
A relaxed Ag3BO4 crystal. Source: the Alexandria database, functional PBE.

Values from the calculation:
Mass density: 6.48 g/cm³
Magnetic moment: 0.000 μB per atom
Space group: Pmn2_1
ΔE_f (raw): -0.68 eV/atom

a b c (Å): 5.484 5.697 6.535
angles (deg): 90.00 90.00 90.00
Fractional positions:
O: 0.072 0.267 0.822
B: 0.481 0.867 0.500
O: 0.076 0.892 0.000
O: 0.206 0.869 0.500
Ag: 0.540 0.358 0.233
Ag: 0.540 0.358 0.767
O: 0.706 0.131 0.000
Ag: 0.040 0.642 0.733
O: 0.576 0.108 0.500
O: 0.072 0.267 0.178
Ag: 0.040 0.642 0.267
Ag: 0.029 0.212 0.500
Ag: 0.529 0.788 0.000
B: 0.981 0.133 0.000
O: 0.572 0.733 0.322
O: 0.572 0.733 0.678